(1)
Computed, not measured: a relaxed structure of TaPdS2 at the PBE level of DFT.

Lattice parameters (Å, degrees): 6.2264 6.2264 6.2264 90.00 90.00 90.00
Last column: nearest neighbours and their distance in Å.
Space group Fm-3m (No. 225)
One atom of each set of equivalent atoms:
Ta 0.0000 0.0000 0.0000 [4 per cell]  8 S 2.70
Pd 0.0000 0.0000 0.5000 [4 per cell]  8 S 2.70
S 0.2500 0.2500 0.2500 [8 per cell]  4 Ta 2.70, 4 Pd 2.70

Computed properties:
* spin magnetization: 0.000 μB per atom
* volume: 15.087 Å³ per atom
* crystal system: cubic
* raw formation energy: -0.255 eV per atom
* density: 9.7 g cm⁻³

---

(2)
Computed, not measured: a relaxed structure of UTa2Ti at the PBE level of DFT.

Lattice parameters (Å, degrees): 6.6701 6.6701 6.6701 90.00 90.00 90.00
Last column: nearest neighbours and their distance in Å.
Space group Fm-3m (No. 225)
One atom of each set of equivalent atoms:
U 0.0000 0.0000 0.0000 [4 per cell]  8 Ta 2.89
Ta 0.2500 0.2500 0.2500 [8 per cell]  4 U 2.89, 4 Ti 2.89
Ti 0.0000 0.0000 0.5000 [4 per cell]  8 Ta 2.89

Computed properties:
* energy of formation: 160 meV/atom
* spin magnetization: 0.007 μB per atom
* volume: 18.547 Å³ per atom
* crystal system: cubic
* density: 14.5 g cm⁻³